First-principles (PBE) data for crystalline CsBSbTe2 at its relaxed geometry, as listed in Alexandria via LeMat-Bulk.

POSCAR file:
```
CsBSbTe2
1.0
5.498 0.000 0.000
0.000 5.498 0.000
0.000 0.000 4.826
Cs B Sb Te
1 1 1 2
Cartesian
0.000 0.000 0.000
2.749 2.749 2.413
2.749 2.749 0.000
0.000 2.749 2.413
2.749 0.000 2.413
```

Results
As for the formation energy (no corrections): 0.411 eV per atom. For the calculated total energy, the calculation gives -15.883 eV/f.u. The calculation puts the polymorph energy (0 for the lowest one) at 0.0 kJ per mole of atoms.

First-principles (PBE) data for crystalline CsBSbTe2 at its relaxed geometry, as listed in Alexandria via LeMat-Bulk.

POSCAR file:
```
CsBSbTe2
1.0
6.611 0.000 0.000
0.000 6.611 0.000
0.000 0.000 6.486
Cs B Sb Te
1 1 1 2
Cartesian
0.000 0.000 0.000
3.306 3.306 3.243
0.000 0.000 3.243
0.000 3.306 0.000
3.306 0.000 0.000
```

Results
As for the formation energy (no corrections): 2.068 eV per atom. For the calculated total energy, the calculation gives -7.597 eV/f.u. The calculation puts the polymorph energy (0 for the lowest one) at 159.9 kJ per mole of atoms.

First-principles (PBE) data for crystalline CsSc2B at its relaxed geometry, as listed in Alexandria via LeMat-Bulk.

POSCAR file:
```
CsSc2B
1.0
7.386 0.000 0.000
0.000 7.386 0.000
0.000 0.000 10.435
Cs Sc B
4 8 4
Cartesian
0.000 1.846 3.913
0.000 5.539 6.522
3.693 1.846 1.304
3.693 5.539 9.130
0.000 0.000 0.000
0.000 3.693 0.000
1.846 1.846 7.826
1.846 5.539 2.609
3.693 0.000 5.217
3.693 3.693 5.217
5.539 1.846 7.826
5.539 5.539 2.609
0.000 1.846 9.130
0.000 5.539 1.304
3.693 1.846 6.522
3.693 5.539 3.913
```

Results
For the calculated total energy, the calculation gives -17.940 eV/f.u. For the calculated formation energy, the calculation gives 0.563 eV/atom. The calculation puts the polymorph energy (0 for the lowest one) at 31.3 kJ per mole of atoms.

First-principles (PBE) data for crystalline CsSc2B at its relaxed geometry, as listed in Alexandria via LeMat-Bulk.

POSCAR file:
```
CsSc2B
1.0
3.516 0.000 0.000
-1.758 3.045 0.000
0.000 0.000 34.584
Cs Sc B
3 6 3
Cartesian
0.000 0.000 0.000
0.000 2.030 23.056
1.758 1.015 11.528
0.000 0.000 15.003
0.000 0.000 19.581
0.000 2.030 3.475
0.000 2.030 8.053
1.758 1.015 26.531
1.758 1.015 31.109
0.000 0.000 17.292
0.000 2.030 5.764
1.758 1.015 28.820
```

Results
For the calculated total energy, the calculation gives -14.934 eV/f.u. For the calculated formation energy, the calculation gives 1.315 eV/atom. The calculation puts the polymorph energy (0 for the lowest one) at 103.8 kJ per mole of atoms.

First-principles (PBE) data for crystalline CsSc2B at its relaxed geometry, as listed in Alexandria via LeMat-Bulk.

POSCAR file:
```
CsSc2B
1.0
3.682 0.000 0.000
-1.841 3.189 0.000
0.000 0.000 29.956
Cs Sc B
3 6 3
Cartesian
0.000 0.000 0.000
0.000 2.126 19.971
1.841 1.063 9.985
0.000 0.000 3.827
0.000 0.000 26.129
0.000 2.126 16.143
0.000 2.126 23.798
1.841 1.063 6.158
1.841 1.063 13.813
0.000 0.000 14.978
0.000 2.126 4.993
1.841 1.063 24.963
```

Results
For the calculated total energy, the calculation gives -19.237 eV/f.u. For the calculated formation energy, the calculation gives 0.239 eV/atom. The calculation puts the polymorph energy (0 for the lowest one) at 0.0 kJ per mole of atoms.

First-principles (PBE) data for crystalline Cs2Sc4B at its relaxed geometry, as listed in Alexandria via LeMat-Bulk.

POSCAR file:
```
Cs2Sc4B
1.0
4.733 0.000 0.000
0.000 4.733 0.000
0.000 0.000 25.194
Cs Sc B
4 8 2
Cartesian
0.000 0.000 4.588
0.000 0.000 20.606
2.367 2.367 8.009
2.367 2.367 17.185
0.000 0.000 10.356
0.000 0.000 14.837
0.000 2.367 0.000
0.000 2.367 12.597
2.367 0.000 0.000
2.367 0.000 12.597
2.367 2.367 2.241
2.367 2.367 22.953
0.000 0.000 12.597
2.367 2.367 0.000
```

Results
For the calculated total energy, the calculation gives -30.587 eV/f.u. For the calculated formation energy, the calculation gives 0.446 eV/atom.

First-principles (PBE) data for crystalline CsScBSe4 at its relaxed geometry, as listed in Alexandria via LeMat-Bulk.

POSCAR file:
```
CsScBSe4
1.0
6.503 0.000 0.000
0.000 6.222 0.000
-2.920 0.000 9.400
Cs Sc B Se
2 2 2 8
Cartesian
0.257 1.556 4.217
3.326 4.667 5.182
-0.993 1.556 8.947
4.577 4.667 0.453
1.207 4.667 1.453
2.377 1.556 7.947
-0.397 4.667 2.693
-2.312 4.667 8.896
2.622 3.130 1.776
2.622 6.204 1.776
0.962 0.019 7.624
0.962 3.092 7.624
5.896 1.556 0.504
3.981 1.556 6.706
```

Results
As for the formation energy (no corrections): -0.902 eV per atom. For the calculated total energy, the calculation gives -34.113 eV/f.u.

First-principles (PBE) data for crystalline CsScSnB2 at its relaxed geometry, as listed in Alexandria via LeMat-Bulk.

POSCAR file:
```
CsScSnB2
1.0
4.841 0.000 0.000
0.000 4.841 0.000
0.000 0.000 5.536
Cs Sc Sn B
1 1 1 2
Cartesian
0.000 0.000 0.000
0.000 0.000 2.768
2.420 2.420 2.768
0.000 2.420 0.000
2.420 0.000 0.000
```

Results
For the calculated total energy, the calculation gives -12.308 eV/f.u. For the calculated formation energy, the calculation gives 2.447 eV/atom.

Which value of calculated total energy does entry 1 give? -15.883 eV/f.u.

What is the formula in the eighth record? CsScSnB2

What is the formula in the seventh record? CsScBSe4

What did the third record say?
First-principles (PBE) data for crystalline CsSc2B at its relaxed geometry, as listed in Alexandria via LeMat-Bulk.

POSCAR file:
```
CsSc2B
1.0
7.386 0.000 0.000
0.000 7.386 0.000
0.000 0.000 10.435
Cs Sc B
4 8 4
Cartesian
0.000 1.846 3.913
0.000 5.539 6.522
3.693 1.846 1.304
3.693 5.539 9.130
0.000 0.000 0.000
0.000 3.693 0.000
1.846 1.846 7.826
1.846 5.539 2.609
3.693 0.000 5.217
3.693 3.693 5.217
5.539 1.846 7.826
5.539 5.539 2.609
0.000 1.846 9.130
0.000 5.539 1.304
3.693 1.846 6.522
3.693 5.539 3.913
```

Results
For the calculated total energy, the calculation gives -17.940 eV/f.u. For the calculated formation energy, the calculation gives 0.563 eV/atom. The calculation puts the polymorph energy (0 for the lowest one) at 31.3 kJ per mole of atoms.